This record from Alexandria describes a geometry-optimized Tl3ZnRh structure. The functional is PBE.

Calculated values
Its electronic total energy is -3.01 eV/atom. The calculation puts the energy above the most stable polymorph in this dataset at 0.000 eV per atom. For the formation energy, the calculation gives 0.13 eV per atom.

```
Tl3ZnRh
1.0
5.302 0.000 0.000
0.000 5.302 0.000
0.000 0.000 5.302
Tl Rh Zn
3 1 1
Cartesian
2.651 0.000 0.000 Tl
0.000 2.651 0.000 Tl
0.000 0.000 2.651 Tl
0.000 0.000 0.000 Rh
2.651 2.651 2.651 Zn
```



This record from Alexandria describes a geometry-optimized EuGdYHg structure. The functional is PBE.

Calculated values
Its electronic total energy is -7.84 eV/atom. For the formation energy, the calculation gives -0.06 eV per atom.

```
EuGdYHg
1.0
-4.447 0.369 -3.157
0.041 -2.120 -5.038
-2.943 -4.470 -1.108
Y Gd Eu Hg
1 1 1 1
Cartesian
-5.512 -4.666 -6.977 Y
-1.837 -1.555 -2.326 Gd
-3.675 -3.110 -4.652 Eu
0.000 0.000 0.000 Hg
```



This record from Alexandria describes a geometry-optimized KTi3Cu structure. The functional is PBE.

Calculated values
Its electronic total energy is -3.72 eV/atom. The calculation puts the energy above the most stable polymorph in this dataset at 1.059 eV per atom. For the formation energy, the calculation gives 2.06 eV per atom.

```
KTi3Cu
1.0
-0.502 3.701 2.495
-4.386 0.057 -0.967
-0.828 -2.544 3.607
Ti K Cu
3 1 1
Cartesian
-0.414 -1.272 1.804 Ti
-2.193 0.029 -0.483 Ti
-0.251 1.850 1.248 Ti
0.000 0.000 0.000 K
-2.858 0.607 2.568 Cu
```



This record from Alexandria describes a geometry-optimized CeNd3Ru3 structure. The functional is PBE.

Calculated values
Its electronic total energy is -7.07 eV/atom. The calculation puts the energy above the most stable polymorph in this dataset at 0.000 eV per atom. For the formation energy, the calculation gives -0.20 eV per atom.

```
CeNd3Ru3
1.0
-1.516 3.759 0.001
-5.332 0.036 -3.842
-8.170 -1.112 10.991
Nd Ru Ce
6 6 2
Cartesian
-9.630 0.485 9.100 Nd
-3.473 0.784 1.148 Nd
-7.915 1.177 5.522 Nd
-11.545 1.898 6.002 Nd
-7.103 1.506 1.628 Nd
-5.388 2.198 -1.950 Nd
-9.495 2.726 3.229 Ru
-5.523 -0.043 3.921 Ru
-8.095 3.291 -0.754 Ru
-2.674 3.292 0.173 Ru
-6.923 -0.608 7.904 Ru
-12.344 -0.609 6.977 Ru
-10.263 0.231 3.142 Ce
-4.755 2.452 4.009 Ce
```



Repeat the second record exactly.
This record from Alexandria describes a geometry-optimized EuGdYHg structure. The functional is PBE.

Calculated values
Its electronic total energy is -7.84 eV/atom. For the formation energy, the calculation gives -0.06 eV per atom.

```
EuGdYHg
1.0
-4.447 0.369 -3.157
0.041 -2.120 -5.038
-2.943 -4.470 -1.108
Y Gd Eu Hg
1 1 1 1
Cartesian
-5.512 -4.666 -6.977 Y
-1.837 -1.555 -2.326 Gd
-3.675 -3.110 -4.652 Eu
0.000 0.000 0.000 Hg
```